{"formula": "ZrCoIr2", "functional": "PBE-GGA", "state": "relaxed", "lattice_angstrom": [[4.619, 0.045, 0.000], [-1.231, 4.452, 0.000], [0.000, 0.000, 2.983]], "species": ["Ir", "Ir", "Co", "Zr"], "fractional_positions": [[0.000, 0.000, 0.000], [0.500, 0.500, 0.000], [0.000, 0.500, 0.500], [0.500, 0.000, 0.500]], "final_energy_ev_per_atom": -8.625}


{"formula": "Zr3CoIr", "functional": "PBE-GGA", "state": "relaxed", "lattice_angstrom": [[0.177, 3.074, 4.493], [-1.610, -2.374, 4.630], [6.195, -1.915, 4.620]], "species": ["Zr", "Zr", "Zr", "Zr", "Ir", "Zr", "Ir", "Co", "Zr", "Co"], "fractional_positions": [[0.692, 0.692, 0.161], [0.308, 0.308, 0.839], [0.000, 0.000, 0.780], [0.000, 0.000, 0.220], [0.739, 0.261, 0.500], [0.704, 0.704, 0.644], [0.261, 0.739, 0.500], [0.307, 0.693, 0.000], [0.296, 0.296, 0.356], [0.693, 0.307, 0.000]], "de_polymorph_mev_per_atom": 0}


{"formula": "Zr3CoIr", "functional": "PBE-GGA", "state": "relaxed", "lattice_angstrom": [[4.711, 0.000, 0.000], [0.000, 4.711, 0.000], [0.000, 0.000, 4.711]], "species": ["Zr", "Ir", "Zr", "Zr", "Co"], "fractional_positions": [[0.500, 0.000, 0.000], [0.500, 0.500, 0.500], [0.000, 0.000, 0.500], [0.000, 0.500, 0.000], [0.000, 0.000, 0.000]], "de_polymorph_mev_per_atom": 685}


{"formula": "KCo", "functional": "PBE-GGA", "state": "relaxed", "lattice_angstrom": [[11.819, 0.000, 0.000], [0.000, 11.819, 0.000], [0.000, 0.000, 4.058]], "species": ["K", "Co", "Co", "K", "K", "Co", "K", "K", "K", "Co", "Co", "Co", "K", "Co", "K", "Co"], "fractional_positions": [[0.653, 0.298, 0.500], [0.519, 0.092, 0.000], [0.908, 0.519, 0.000], [0.973, 0.230, 0.000], [0.230, 0.027, 0.000], [0.929, 0.440, 0.500], [0.347, 0.702, 0.500], [0.027, 0.770, 0.000], [0.770, 0.973, 0.000], [0.440, 0.071, 0.500], [0.560, 0.929, 0.500], [0.481, 0.908, 0.000], [0.298, 0.347, 0.500], [0.092, 0.481, 0.000], [0.702, 0.653, 0.500], [0.071, 0.560, 0.500]], "de_polymorph_mev_per_atom": 14}


{"formula": "KCo", "functional": "PBE-GGA", "state": "relaxed", "lattice_angstrom": [[-3.485, 0.886, -0.140], [-0.800, -2.337, 5.124], [3.301, 5.671, -0.055]], "species": ["K", "Co", "Co", "K"], "fractional_positions": [[0.102, 0.352, 0.703], [0.304, 0.054, 0.109], [0.696, 0.946, 0.891], [0.898, 0.648, 0.297]], "de_polymorph_mev_per_atom": 176}


{"formula": "K2Co", "functional": "PBE-GGA", "state": "relaxed", "lattice_angstrom": [[-5.761, 0.897, -0.487], [2.081, -5.445, 0.496], [-0.280, 0.234, 3.742]], "species": ["K", "K", "Co"], "fractional_positions": [[0.333, 0.667, 0.321], [0.667, 0.333, 0.679], [0.000, 0.000, 0.000]], "de_polymorph_mev_per_atom": 396}